Compound: FeHg2Au
Source: the Alexandria database
Functional: GGA-PBE
Structure: relaxed

## Properties
Calculated total energy, eV/atom: -2.713
Energy above the lowest structure with this stoichiometry, eV per atom: 0.137
ΔH_f (0 K), meV/atom: 373

Cell lengths 6.3292, 7.6376, 3.1038 Å; angles 90.00, 90.00, 90.00 degrees
With the nearest neighbours (Å) after each atom.
Fractional positions:
1 Fe 0.0000 0.0000 0.0000  8 Hg 2.93, 2 Fe 3.10, 2 Au 3.16
2 Fe 0.5000 0.5000 0.0000  8 Hg 2.93, 2 Fe 3.10, 2 Au 3.16
3 Hg 0.2500 0.2500 0.5000  4 Fe 2.93, 4 Au 2.93, 4 Hg 3.10-3.16
4 Hg 0.2500 0.7500 0.5000  4 Fe 2.93, 4 Au 2.93, 4 Hg 3.10-3.16
5 Hg 0.7500 0.2500 0.5000  4 Fe 2.93, 4 Au 2.93, 4 Hg 3.10-3.16
6 Hg 0.7500 0.7500 0.5000  4 Fe 2.93, 4 Au 2.93, 4 Hg 3.10-3.16
7 Au 0.0000 0.5000 0.0000  8 Hg 2.93, 2 Au 3.10, 2 Fe 3.16
8 Au 0.5000 0.0000 0.0000  8 Hg 2.93, 2 Au 3.10, 2 Fe 3.16



Compound: FeHg2Au
Source: the Alexandria database
Functional: GGA-PBE
Structure: relaxed

## Properties
Calculated total energy, eV/atom: -2.633
Energy above the lowest structure with this stoichiometry, eV per atom: 0.217
ΔH_f (0 K), meV/atom: 453

Cell lengths 4.0890, 4.0890, 19.9596 Å; angles 90.00, 90.00, 90.00 degrees
With the nearest neighbours (Å) after each atom.
Fractional positions:
1 Fe 0.0000 0.0000 0.0000  4 Hg 2.88, 4 Au 2.89
2 Fe 0.0000 0.5000 0.2500  4 Hg 2.88, 4 Au 2.89
3 Fe 0.5000 0.0000 0.7500  4 Hg 2.88, 4 Au 2.89
4 Fe 0.5000 0.5000 0.5000  4 Hg 2.88, 4 Au 2.89
5 Hg 0.2453 0.2500 0.1250  4 Hg 2.86-2.92, 2 Fe 2.88, 2 Au 2.89
6 Hg 0.2500 0.7453 0.3750  4 Hg 2.86-2.92, 2 Fe 2.88, 2 Au 2.89
7 Hg 0.2500 0.7547 0.8750  4 Hg 2.86-2.92, 2 Fe 2.88, 2 Au 2.89
8 Hg 0.2547 0.2500 0.6250  4 Hg 2.86-2.92, 2 Fe 2.88, 2 Au 2.89
9 Hg 0.7453 0.7500 0.6250  4 Hg 2.86-2.92, 2 Fe 2.88, 2 Au 2.89
10 Hg 0.7500 0.2453 0.8750  4 Hg 2.86-2.92, 2 Fe 2.88, 2 Au 2.89
11 Hg 0.7500 0.2547 0.3750  4 Hg 2.86-2.92, 2 Fe 2.88, 2 Au 2.89
12 Hg 0.7547 0.7500 0.1250  4 Hg 2.86-2.92, 2 Fe 2.88, 2 Au 2.89
13 Au 0.0000 0.0000 0.5000  4 Hg 2.89, 4 Fe 2.89
14 Au 0.0000 0.5000 0.7500  4 Hg 2.89, 4 Fe 2.89
15 Au 0.5000 0.0000 0.2500  4 Hg 2.89, 4 Fe 2.89
16 Au 0.5000 0.5000 0.0000  4 Hg 2.89, 4 Fe 2.89



Compound: FeHg4Au
Source: the Alexandria database
Functional: GGA-PBE
Structure: relaxed

## Properties
Calculated total energy, eV/atom: -1.493
ΔH_f (0 K), meV/atom: 665

Cell lengths 5.7742, 5.7742, 5.7742 Å; angles 60.00, 60.00, 60.00 degrees
With the nearest neighbours (Å) after each atom.
Fractional positions:
1 Fe 0.0000 0.0000 0.0000  12 Hg 3.39, 4 Au 3.54
2 Hg 0.1246 0.6251 0.6251  6 Hg 2.88-2.89
3 Hg 0.6251 0.1246 0.6251  6 Hg 2.88-2.89
4 Hg 0.6251 0.6251 0.1246  6 Hg 2.88-2.89
5 Hg 0.6251 0.6251 0.6251  6 Hg 2.88-2.89
6 Au 0.2500 0.2500 0.2500  12 Hg 3.39, 4 Fe 3.54



Compound: FeHgAu
Source: the Alexandria database
Functional: GGA-PBE
Structure: relaxed

## Properties
Calculated total energy, eV/atom: -3.596
Energy above the lowest structure with this stoichiometry, eV per atom: 0.165
ΔH_f (0 K), meV/atom: 418

Cell lengths 6.2216, 6.2216, 6.2216 Å; angles 90.00, 90.00, 90.00 degrees
With the nearest neighbours (Å) after each atom.
Fractional positions:
1 Fe 0.0000 0.0000 0.0000  4 Au 2.69, 4 Hg 2.69
2 Fe 0.0000 0.5000 0.5000  4 Hg 2.69, 4 Au 2.69
3 Fe 0.5000 0.0000 0.5000  4 Hg 2.69, 4 Au 2.69
4 Fe 0.5000 0.5000 0.0000  4 Au 2.69, 4 Hg 2.69
5 Hg 0.2500 0.2500 0.2500  4 Fe 2.69
6 Hg 0.2500 0.7500 0.7500  4 Fe 2.69
7 Hg 0.7500 0.2500 0.7500  4 Fe 2.69
8 Hg 0.7500 0.7500 0.2500  4 Fe 2.69
9 Au 0.2500 0.2500 0.7500  4 Fe 2.69
10 Au 0.2500 0.7500 0.2500  4 Fe 2.69
11 Au 0.7500 0.2500 0.2500  4 Fe 2.69
12 Au 0.7500 0.7500 0.7500  4 Fe 2.69



Compound: FeHg2Au
Source: the Alexandria database
Functional: GGA-PBE
Structure: relaxed

## Properties
Calculated total energy, eV/atom: -2.788
Energy above the lowest structure with this stoichiometry, eV per atom: 0.063
ΔH_f (0 K), meV/atom: 298

Cell lengths 4.2381, 4.2478, 8.2243 Å; angles 90.00, 90.00, 90.00 degrees
With the nearest neighbours (Å) after each atom.
Fractional positions:
1 Fe 0.0000 0.0000 0.0000  8 Hg 2.84-2.85, 4 Fe 3.00
2 Fe 0.5000 0.5000 0.0000  8 Hg 2.84-2.85, 4 Fe 3.00
3 Hg 0.0000 0.5000 0.2306  4 Fe 2.84-2.85, 4 Hg 3.00, 4 Au 3.07
4 Hg 0.0000 0.5000 0.7694  4 Fe 2.84-2.85, 4 Hg 3.00, 4 Au 3.07
5 Hg 0.5000 0.0000 0.2306  4 Fe 2.84-2.85, 4 Hg 3.00, 4 Au 3.07
6 Hg 0.5000 0.0000 0.7694  4 Fe 2.84-2.85, 4 Hg 3.00, 4 Au 3.07
7 Au 0.0000 0.0000 0.5000  4 Au 3.00, 8 Hg 3.07
8 Au 0.5000 0.5000 0.5000  4 Au 3.00, 8 Hg 3.07



Compound: FeHg2Au
Source: the Alexandria database
Functional: GGA-PBE
Structure: relaxed

## Properties
Calculated total energy, eV/atom: -2.738
Energy above the lowest structure with this stoichiometry, eV per atom: 0.112
ΔH_f (0 K), meV/atom: 348

Cell lengths 9.3161, 3.0022, 5.5099 Å; angles 90.00, 100.23, 90.00 degrees
With the nearest neighbours (Å) after each atom.
Fractional positions:
1 Fe 0.0000 0.0000 0.0000  6 Hg 2.83-2.93, 2 Fe 3.00, 4 Au 3.14
2 Fe 0.5000 0.5000 0.0000  6 Hg 2.83-2.93, 2 Fe 3.00, 4 Au 3.14
3 Hg 0.2427 0.5000 0.2374  3 Fe 2.83-2.93, 3 Au 2.89-2.98, 4 Hg 3.00-3.04
4 Hg 0.2573 0.0000 0.7626  3 Fe 2.83-2.93, 3 Au 2.89-2.98, 4 Hg 3.00-3.04
5 Hg 0.7427 0.0000 0.2374  3 Fe 2.83-2.93, 3 Au 2.89-2.98, 4 Hg 3.00-3.04
6 Hg 0.7573 0.5000 0.7626  3 Fe 2.83-2.93, 3 Au 2.89-2.98, 4 Hg 3.00-3.04
7 Au 0.0000 0.5000 0.5000  6 Hg 2.89-2.98, 2 Au 3.00, 4 Fe 3.14
8 Au 0.5000 0.0000 0.5000  6 Hg 2.89-2.98, 2 Au 3.00, 4 Fe 3.14